{
  "formula": "BaZrGeMo2",
  "functional": "PBEsol",
  "state": "optimized geometry",
  "formation_energy_ev_per_fu": 13.00,
  "dos_ef_per_ev_atom": 1.111,
  "magmom_total_mub_per_atom": 0.000,
  "cell": [[4.8774, 0.0000, 0.0000], [0.0000, 4.8774, 0.0000], [0.0000, 0.0000, 5.2315]],
  "species": ["Mo", "Mo", "Ge", "Ba", "Zr"],
  "fractional_positions": [[0.0000, 0.5000, 0.0000], [0.5000, 0.0000, 0.0000], [0.5000, 0.5000, 0.5000], [0.0000, 0.0000, 0.0000], [0.0000, 0.0000, 0.5000]]
}